No. 1
Here is an optimized crystal structure of Sm2YH from the Alexandria database. Energies are from PBE.

```
Sm2YH
1.0
-0.2472 1.2362 3.1685
-0.8556 -3.0973 1.1416
8.2892 -1.7936 1.3466
Y H Sm
1 1 2
Direct
0.5000 0.5000 0.5000 Y
0.5000 0.5000 0.0000 H
0.0000 0.0000 0.1901 Sm
0.0000 0.0000 0.8099 Sm
```

Values from the calculation:
**E above lowest polymorph**: 260 meV per atom
**DOS at the Fermi energy**: 0.9888 states/eV/atom
**Space group**: P4/mmm
**Magnetization**: 0.00 μB per formula unit

=====

No. 2
Here is an optimized crystal structure of YTlCo4 from the Alexandria database. Energies are from PBE.

```
YTlCo4
1.0
3.6822 -3.3175 -0.8441
-0.8586 -4.9166 0.6054
-0.2137 -3.0268 -4.0087
Y Tl Co
1 1 4
Direct
0.0000 0.0000 0.0000 Y
0.7500 0.7500 0.7500 Tl
0.3752 0.8743 0.3752 Co
0.8743 0.3752 0.3752 Co
0.3752 0.3752 0.8743 Co
0.3752 0.3752 0.3752 Co
```

Values from the calculation:
**DOS at the Fermi energy**: 1.5880 states/eV/atom
**Space group**: F-43m
**Magnetization**: 4.70 μB per formula unit
**Formation energy**: -1 kJ/mol of formula units

=====

No. 3
Here is an optimized crystal structure of Zn2NiAu2 from the Alexandria database. Energies are from PBE.

```
Zn2NiAu2
1.0
-4.1457 -4.7432 1.8522
1.5772 -3.4671 -5.3486
2.6986 -1.6343 1.8551
Au Ni Zn
4 2 4
Direct
0.6665 0.8335 0.5000 Au
0.1665 0.6665 0.5000 Au
0.3335 0.1665 0.5000 Au
0.8335 0.3335 0.5000 Au
0.0000 0.0000 0.0000 Ni
0.5000 0.5000 0.0000 Ni
0.3607 0.8607 0.0000 Zn
0.6393 0.1393 0.0000 Zn
0.1393 0.3607 0.0000 Zn
0.8607 0.6393 0.0000 Zn
```

Values from the calculation:
**E above lowest polymorph**: 136 meV per atom
**DOS at the Fermi energy**: 0.3400 states/eV/atom
**Space group**: P4/mbm
**Magnetization**: 0.00 μB per formula unit
**Formation energy**: 3 kJ/mol of formula units

=====

No. 4
Here is an optimized crystal structure of PmTiGa2 from the Alexandria database. Energies are from PBE.

```
PmTiGa2
1.0
-3.3872 -0.4641 0.6664
0.7897 -2.5498 2.2378
0.3611 4.4316 4.9219
Ga Ti Pm
2 1 1
Direct
0.0000 0.0000 0.7990 Ga
0.0000 0.0000 0.2010 Ga
0.5000 0.5000 0.0000 Ti
0.5000 0.5000 0.5000 Pm
```

Values from the calculation:
**E above lowest polymorph**: 0 meV per atom
**DOS at the Fermi energy**: 0.4995 states/eV/atom
**Space group**: P4/mmm
**Magnetization**: 0.79 μB per formula unit
**Formation energy**: -163 kJ/mol of formula units

=====

No. 5
Here is an optimized crystal structure of ScOsCl2 from the Alexandria database. Energies are from PBE.

```
ScOsCl2
1.0
-0.6647 -0.8564 -3.2958
-2.9221 -1.5808 1.0001
-3.4825 5.9103 -0.8335
Cl Os Sc
2 1 1
Direct
0.0000 0.0000 0.9047 Cl
0.5000 0.5000 0.3154 Cl
0.0000 0.0000 0.5590 Os
0.5000 0.5000 0.7210 Sc
```

Values from the calculation:
**E above lowest polymorph**: 287 meV per atom
**DOS at the Fermi energy**: 0.6107 states/eV/atom
**Space group**: P4mm
**Magnetization**: 0.00 μB per formula unit
**ΔE_f (raw)**: -0.259 eV per atom

=====

No. 6
Here is an optimized crystal structure of Ho2Mg3Sc2 from the Alexandria database. Energies are from PBE.

```
Ho2Mg3Sc2
1.0
-2.4964 -0.1672 2.1279
2.0846 -0.9899 2.3679
3.8775 15.9890 3.2706
Mg Sc Ho
3 2 2
Direct
0.4359 0.5000 0.8718 Mg
0.0000 0.0000 0.0000 Mg
0.5641 0.5000 0.1282 Mg
0.8684 0.0000 0.7368 Sc
0.1316 0.0000 0.2632 Sc
0.2961 0.5000 0.5921 Ho
0.7039 0.5000 0.4079 Ho
```

Values from the calculation:
**DOS at the Fermi energy**: 0.9926 states/eV/atom
**Space group**: Cmmm
**Magnetization**: 0.00 μB per formula unit
**Formation energy**: 28 kJ/mol of formula units

=====

No. 7
Here is an optimized crystal structure of GaSiRh3 from the Alexandria database. Energies are from PBE.

```
GaSiRh3
1.0
-0.4356 -1.1247 4.2114
-3.3134 -2.6647 -1.0543
2.8324 -3.2902 -0.5857
Ga Rh Si
1 3 1
Direct
0.5000 0.5000 0.5000 Ga
0.5000 0.0000 0.0000 Rh
0.0000 0.0000 0.5000 Rh
0.0000 0.5000 0.0000 Rh
0.0000 0.0000 0.0000 Si
```

Values from the calculation:
**E above lowest polymorph**: 590 meV per atom
**DOS at the Fermi energy**: 0.1257 states/eV/atom
**Space group**: Pm-3m
**Magnetization**: 0.00 μB per formula unit
**ΔE_f (raw)**: 0.026 eV per atom

=====

No. 8
Here is an optimized crystal structure of ReAsN2 from the Alexandria database. Energies are from PBE.

```
ReAsN2
1.0
-1.9503 0.2086 4.6742
0.4310 -5.0345 0.4045
3.4182 -1.9170 4.2605
As Re N
2 2 4
Direct
0.5000 0.5000 0.0000 As
0.2500 0.7500 0.5000 As
0.0000 0.0000 0.0000 Re
0.7500 0.2500 0.5000 Re
0.0467 0.6250 0.2500 N
0.8750 0.9533 0.7500 N
0.3750 0.2967 0.7500 N
0.7033 0.1250 0.2500 N
```

Values from the calculation:
**DOS at the Fermi energy**: 0.4996 states/eV/atom
**Space group**: I-42d
**Magnetization**: 0.00 μB per formula unit
**ΔE_f (raw)**: 0.689 eV per atom

=====

No. 9
Here is an optimized crystal structure of CaSmCuPd from the Alexandria database. Energies are from PBE.

```
CaSmCuPd
1.0
3.9621 0.0000 0.0000
0.0000 4.3830 0.0000
-1.9810 0.0000 5.4558
Cu Pd Ca Sm
1 1 1 1
Direct
0.5708 0.5000 0.1416 Cu
0.4239 0.0000 0.8477 Pd
0.1416 0.0000 0.2832 Ca
0.8637 0.5000 0.7274 Sm
```

Values from the calculation:
**E above lowest polymorph**: 0 meV per atom
**DOS at the Fermi energy**: 0.6764 states/eV/atom
**Space group**: Amm2
**Magnetization**: 0.00 μB per formula unit
**Formation energy**: -186 kJ/mol of formula units

=====

No. 10
Here is an optimized crystal structure of Zr2TaMn from the Alexandria database. Energies are from PBE.

```
Zr2TaMn
1.0
-0.1210 -4.5195 -2.6555
4.8999 -1.7200 -0.7243
-2.5407 1.5886 4.3027
Mn Zr Ta
1 2 1
Direct
0.2500 0.7500 0.5000 Mn
0.5000 0.5000 0.0000 Zr
0.0000 0.0000 0.0000 Zr
0.7500 0.2500 0.5000 Ta
```

Values from the calculation:
**E above lowest polymorph**: 256 meV per atom
**DOS at the Fermi energy**: 1.3639 states/eV/atom
**Space group**: I4/mmm
**Magnetization**: 3.52 μB per formula unit
**Formation energy**: 93 kJ/mol of formula units

=====

No. 11
Here is an optimized crystal structure of CsSiNi2 from the Alexandria database. Energies are from PBE.

```
CsSiNi2
1.0
5.2289 0.0000 0.0000
0.0000 5.2289 0.0000
2.6144 2.6144 7.3126
Ni Cs Si
4 2 2
Direct
0.3750 0.1250 0.2500 Ni
0.3750 0.6250 0.2500 Ni
0.8750 0.6250 0.7500 Ni
0.3750 0.6250 0.7500 Ni
0.7500 0.2500 0.5000 Cs
0.0000 0.0000 0.0000 Cs
0.2500 0.7500 0.5000 Si
0.5000 0.5000 0.0000 Si
```

Values from the calculation:
**E above lowest polymorph**: 0 meV per atom
**DOS at the Fermi energy**: 0.6882 states/eV/atom
**Space group**: I4_1/amd
**Magnetization**: 0.00 μB per formula unit
**ΔE_f (raw)**: 0.305 eV per atom

=====

No. 12
Here is an optimized crystal structure of SrYAl from the Alexandria database. Energies are from PBE.

```
SrYAl
1.0
-1.4761 5.6577 -5.9242
-2.1713 -3.6123 -2.9088
-8.1647 1.8482 3.7994
Y Al Sr
4 4 4
Direct
0.1465 0.2500 0.4257 Y
0.6465 0.2500 0.0743 Y
0.8535 0.7500 0.5743 Y
0.3535 0.7500 0.9257 Y
0.7802 0.2500 0.3932 Al
0.7198 0.7500 0.8932 Al
0.2802 0.2500 0.1068 Al
0.2198 0.7500 0.6068 Al
0.5190 0.2500 0.6805 Sr
0.0190 0.2500 0.8195 Sr
0.4810 0.7500 0.3195 Sr
0.9810 0.7500 0.1805 Sr
```

Values from the calculation:
**E above lowest polymorph**: 53 meV per atom
**DOS at the Fermi energy**: 0.1313 states/eV/atom
**Space group**: Pnma
**Magnetization**: 0.00 μB per formula unit
**Formation energy**: -46 kJ/mol of formula units

=====

> What is the formula in the fourth record?

PmTiGa2